# LaPdF3

A relaxed structure of LaPdF3 (PBE, Alexandria via LeMat-Bulk).

Results
The energy above the lowest structure with this stoichiometry is 0 meV per atom. The calculation puts the uncorrected formation energy at -2.62 eV/atom. As for the total magnetic moment: 0.0 μB per formula unit.

```
5
Lattice="4.684 0.000 0.000 0.000 4.684 0.000 0.000 0.000 4.684" Properties=species:S:1:pos:R:3 pbc="T T T"
La 0.000 0.000 0.000
F 2.342 0.000 0.000
F 0.000 0.000 2.342
F 0.000 2.342 0.000
Pd 2.342 2.342 2.342
```

***

# LaPdF2

A relaxed structure of LaPdF2 (PBE, Alexandria via LeMat-Bulk).

Results
The energy above the lowest structure with this stoichiometry is 200 meV per atom. The calculation puts the uncorrected formation energy at -2.17 eV/atom. As for the total magnetic moment: 0.0 μB per formula unit.

```
4
Lattice="0.000 3.158 3.158 3.158 0.000 3.158 3.158 3.158 0.000" Properties=species:S:1:pos:R:3 pbc="T T T"
La 3.158 3.158 3.158
Pd 0.000 0.000 0.000
F 1.579 1.579 1.579
F 4.737 4.737 4.737
```

***

# LaPd3F

A relaxed structure of LaPd3F (PBE, Alexandria via LeMat-Bulk).

Results
The energy above the lowest structure with this stoichiometry is 958 meV per atom. The calculation puts the uncorrected formation energy at 0.38 eV/atom. As for the total magnetic moment: 0.0 μB per formula unit.

```
5
Lattice="5.210 0.000 0.000 0.000 5.210 0.000 0.000 0.000 5.210" Properties=species:S:1:pos:R:3 pbc="T T T"
La 0.000 0.000 0.000
Pd 0.000 2.605 0.000
Pd 0.000 0.000 2.605
Pd 2.605 0.000 0.000
F 2.605 2.605 2.605
```

***

# LaPd2F

A relaxed structure of LaPd2F (PBE, Alexandria via LeMat-Bulk).

Results
The energy above the lowest structure with this stoichiometry is 0 meV per atom. The calculation puts the uncorrected formation energy at -0.78 eV/atom. As for the total magnetic moment: 0.0 μB per formula unit.

```
4
Lattice="0.000 3.375 3.375 3.375 0.000 3.375 3.375 3.375 0.000" Properties=species:S:1:pos:R:3 pbc="T T T"
Pd 1.687 1.687 1.687
Pd 5.062 5.062 5.062
F 0.000 0.000 0.000
La 3.375 3.375 3.375
```

***

# LaPdF2

A relaxed structure of LaPdF2 (PBE, Alexandria via LeMat-Bulk).

Results
The energy above the lowest structure with this stoichiometry is 147 meV per atom. The calculation puts the uncorrected formation energy at -2.22 eV/atom. As for the total magnetic moment: 0.0 μB per formula unit.

```
8
Lattice="-4.053 -1.669 0.895 1.481 -1.475 3.955 -3.342 5.181 5.714" Properties=species:S:1:pos:R:3 pbc="T T T"
F -3.589 2.824 5.787
F -4.638 1.016 8.845
F -0.092 0.298 3.940
F -3.508 -0.066 2.553
La 0.000 0.000 0.000
La -4.340 0.969 4.516
Pd -1.573 1.066 6.047
Pd -1.286 -1.572 2.425
```

***

# LaPd2F

A relaxed structure of LaPd2F (PBE, Alexandria via LeMat-Bulk).

Results
The energy above the lowest structure with this stoichiometry is 251 meV per atom. The calculation puts the uncorrected formation energy at -0.53 eV/atom. As for the total magnetic moment: 0.0 μB per formula unit.

```
8
Lattice="-1.811 0.338 5.534 2.960 -4.863 1.266 5.140 0.856 4.704" Properties=species:S:1:pos:R:3 pbc="T T T"
Pd 2.797 -2.762 3.002
Pd 0.635 -0.203 4.450
Pd 4.677 -3.016 9.399
Pd 4.469 -1.356 6.156
F 0.575 -2.262 3.400
F 4.337 -3.135 4.685
La 1.952 -0.534 6.819
La 0.000 0.000 0.000
```

***

# LaPd3F

A relaxed structure of LaPd3F (PBE, Alexandria via LeMat-Bulk).

Results
The energy above the lowest structure with this stoichiometry is 0 meV per atom. The calculation puts the uncorrected formation energy at -0.57 eV/atom. As for the total magnetic moment: 0.0 μB per formula unit.

```
5
Lattice="-2.767 -0.626 3.548 2.503 -3.551 1.326 2.591 2.763 2.508" Properties=species:S:1:pos:R:3 pbc="T T T"
Pd -1.384 -0.313 1.774
Pd 1.295 1.381 1.254
Pd 1.252 -1.776 0.663
F 0.000 0.000 0.000
La 1.163 -0.707 3.691
```

***

# RbLaPdF2

A relaxed structure of RbLaPdF2 (PBE, Alexandria via LeMat-Bulk).

Results
The calculation puts the uncorrected formation energy at -2.21 eV/atom. As for the total magnetic moment: 0.0 μB per formula unit.

```
5
Lattice="4.799 0.000 0.000 0.000 5.730 0.000 0.000 0.000 4.799" Properties=species:S:1:pos:R:3 pbc="T T T"
Pd 0.000 2.865 0.000
F 2.400 0.000 0.000
F 0.000 0.000 2.400
La 0.000 0.000 0.000
Rb 2.400 2.865 2.400
```

***

- What is the uncorrected formation energy in the first record?
  -2.62 eV/atom